No. 1
{"formula": "NiPd3Se6", "functional": "GGA-PBE", "state": "relaxed", "relative_energy_kj_per_mol_fu": 0.0, "raw_formation_energy_ev_per_atom": -0.26, "total_energy_ev_per_atom": -4.48, "lattice": [[-4.1541, -1.8927, 4.5761], [-1.3702, -6.2750, 0.7257], [2.3516, -3.2219, 5.3671]], "species": ["Ni", "Pd", "Pd", "Pd", "Se", "Se", "Se", "Se", "Se", "Se"], "fractional_positions": [[0.8469, 0.8469, 0.4594], [0.3480, 0.3480, 0.9559], [0.6495, 0.6495, 0.0515], [0.1520, 0.1520, 0.5441], [0.9435, 0.5675, 0.2559], [0.2332, 0.9435, 0.2559], [0.5675, 0.2332, 0.2559], [0.0514, 0.4596, 0.7405], [0.7484, 0.0514, 0.7405], [0.4596, 0.7484, 0.7405]]}

No. 2
{"formula": "TiHPt2Au", "functional": "GGA-PBE", "state": "relaxed", "total_energy_ev_per_atom": -5.61, "lattice": [[4.0299, 0.0000, 0.0000], [0.0000, 4.0299, 0.0000], [0.0000, 0.0000, 4.1398]], "species": ["H", "Au", "Pt", "Pt", "Ti"], "fractional_positions": [[0.0000, 0.0000, 0.0000], [0.5000, 0.5000, 0.5000], [0.0000, 0.5000, 0.0000], [0.5000, 0.0000, 0.0000], [0.0000, 0.0000, 0.5000]]}

No. 3
{"formula": "ZrTaBr2", "functional": "GGA-PBE", "state": "relaxed", "relative_energy_kj_per_mol_fu": 283.2, "raw_formation_energy_ev_per_atom": 0.18, "total_energy_ev_per_atom": -5.75, "lattice": [[-5.2133, -1.7168, 2.3466], [-3.4782, -3.9339, -2.8389], [5.2460, 1.2385, 2.5646]], "species": ["Br", "Br", "Zr", "Ta"], "fractional_positions": [[0.0138, 0.0138, 0.0000], [0.7266, 0.2266, 0.5000], [0.2430, 0.7430, 0.5000], [0.5166, 0.5166, 0.0000]]}

No. 4
{"formula": "TaTcP", "functional": "GGA-PBE", "state": "relaxed", "formation_enthalpy_0k_kcal_per_mol_atoms": -13.0, "relative_energy_kj_per_mol_fu": 0.0, "total_energy_ev_per_atom": -9.77, "lattice": [[3.1845, 0.0000, 0.0000], [0.0000, 7.0250, 0.0000], [0.0000, 0.0000, 11.8521]], "species": ["Ta", "Ta", "Ta", "Ta", "Ta", "Ta", "Tc", "Tc", "Tc", "Tc", "Tc", "Tc", "P", "P", "P", "P", "P", "P"], "fractional_positions": [[0.0000, 0.2262, 0.9693], [0.0000, 0.7738, 0.0307], [0.0000, 0.2262, 0.5307], [0.0000, 0.7738, 0.4693], [0.0000, 0.2172, 0.2500], [0.0000, 0.7829, 0.7500], [0.5000, 0.4698, 0.1220], [0.5000, 0.5302, 0.8780], [0.5000, 0.4698, 0.3780], [0.5000, 0.5302, 0.6220], [0.5000, 0.8516, 0.2500], [0.5000, 0.1484, 0.7500], [0.5000, 0.0761, 0.1013], [0.5000, 0.9239, 0.8987], [0.5000, 0.0761, 0.3987], [0.5000, 0.9239, 0.6013], [0.0000, 0.5988, 0.2500], [0.0000, 0.4012, 0.7500]]}